Record 1
## BaPbF3 (GGA-PBEsol)

Data for BaPbF3 after structural relaxation.

a b c (Å): 4.981 4.981 4.981
angles (deg): 90.00 90.00 90.00
Element x y z (fractional)
Ba1 0.500 0.500 0.500
F1 0.000 0.500 0.500
F2 0.500 0.000 0.500
F3 0.500 0.500 0.000
Pb1 0.000 0.000 0.000

## Properties
Fermi-level density of states = 2.375 states/eV/cell
E_form (uncorrected) = -2354 meV per atom

***

Record 2
## SnPtSe2 (GGA-PBEsol)

Data for SnPtSe2 after structural relaxation.

a b c (Å): 3.646 3.646 8.797
angles (deg): 78.04 78.04 60.00
Element x y z (fractional)
Se1 0.886 0.886 0.342
Se2 0.114 0.114 0.658
Sn1 0.000 0.000 0.000
Pt1 0.500 0.500 0.500

## Properties
Fermi-level density of states = 2.016 states/eV/cell
E_form (uncorrected) = -191 meV per atom

***

Record 3
## Pr3RuCl3 (GGA-PBEsol)

Data for Pr3RuCl3 after structural relaxation.

a b c (Å): 4.054 12.130 14.110
angles (deg): 90.00 90.00 90.00
Element x y z (fractional)
Pr1 0.250 0.835 0.088
Pr2 0.250 0.421 0.856
Pr3 0.250 0.079 0.356
Pr4 0.750 0.921 0.644
Pr5 0.750 0.165 0.912
Pr6 0.750 0.826 0.397
Pr7 0.750 0.579 0.144
Pr8 0.250 0.665 0.588
Pr9 0.250 0.174 0.603
Pr10 0.750 0.335 0.412
Pr11 0.750 0.674 0.897
Pr12 0.250 0.326 0.103
Ru1 0.250 0.903 0.514
Ru2 0.750 0.403 0.986
Ru3 0.250 0.597 0.014
Ru4 0.750 0.097 0.486
Cl1 0.750 0.901 0.955
Cl2 0.250 0.099 0.045
Cl3 0.250 0.401 0.545
Cl4 0.750 0.937 0.210
Cl5 0.750 0.599 0.455
Cl6 0.750 0.215 0.235
Cl7 0.250 0.063 0.790
Cl8 0.250 0.715 0.265
Cl9 0.750 0.285 0.735
Cl10 0.750 0.563 0.710
Cl11 0.250 0.437 0.290
Cl12 0.250 0.785 0.765

## Properties
Fermi-level density of states = 18.409 states/eV/cell
E_form (uncorrected) = -1402 meV per atom

***

Record 4
## NaTl (GGA-PBEsol)

Data for NaTl after structural relaxation.

a b c (Å): 5.147 5.147 10.117
angles (deg): 90.00 90.00 120.00
Element x y z (fractional)
Na1 0.333 0.667 0.079
Na2 0.667 0.333 0.921
Na3 0.667 0.333 0.579
Na4 0.333 0.667 0.421
Tl1 0.000 0.000 0.250
Tl2 0.000 0.000 0.750
Tl3 0.333 0.667 0.750
Tl4 0.667 0.333 0.250

## Properties
Fermi-level density of states = 2.044 states/eV/cell
Energy of formation from the pure elements = -0.077 eV per atom

***

Record 5
## CrReIr2 (GGA-PBEsol)

Data for CrReIr2 after structural relaxation.

a b c (Å): 2.681 4.638 4.638
angles (deg): 109.74 90.00 90.00
Element x y z (fractional)
Re1 0.500 0.000 0.000
Ir1 0.000 0.500 0.000
Ir2 0.000 0.000 0.500
Cr1 0.500 0.500 0.500

## Properties
Excess energy over the best structure of this formula in the dataset = 10.25 kJ/mol of atoms
Fermi-level density of states = 3.703 states/eV/cell
Energy of formation from the pure elements = -0.158 eV per atom

***

Record 6
## LiAs2Pd2 (GGA-PBEsol)

Data for LiAs2Pd2 after structural relaxation.

a b c (Å): 4.219 4.219 5.838
angles (deg): 111.18 111.18 90.00
Element x y z (fractional)
As1 0.380 0.380 0.759
As2 0.620 0.620 0.241
Pd1 0.250 0.750 0.500
Pd2 0.750 0.250 0.500
Li1 0.000 0.000 0.000

## Properties
Fermi-level density of states = 2.306 states/eV/cell
Energy of formation from the pure elements = -0.416 eV per atom

***

Record 7
## Sb2As (GGA-PBEsol)

Data for Sb2As after structural relaxation.

a b c (Å): 4.131 5.942 6.609
angles (deg): 90.14 108.21 90.00
Element x y z (fractional)
Sb1 0.507 0.247 0.014
Sb2 0.828 0.263 0.657
Sb3 0.493 0.753 0.986
Sb4 0.172 0.737 0.343
As1 0.168 0.262 0.336
As2 0.832 0.738 0.664

## Properties
Excess energy over the best structure of this formula in the dataset = 0.58 kJ/mol of atoms
Fermi-level density of states = 3.062 states/eV/cell
E_form (uncorrected) = 47 meV per atom

***

Record 8
## LaGaSCl2 (GGA-PBEsol)

Data for LaGaSCl2 after structural relaxation.

a b c (Å): 4.872 4.872 4.796
angles (deg): 90.00 90.00 90.00
Element x y z (fractional)
S1 0.000 0.000 0.500
Cl1 0.000 0.500 0.000
Cl2 0.500 0.000 0.000
Ga1 0.000 0.000 0.000
La1 0.500 0.500 0.500

## Properties
Fermi-level density of states = 4.112 states/eV/cell
E_form (uncorrected) = -1013 meV per atom

***

Record 9
## TaOs2Pt (GGA-PBEsol)

Data for TaOs2Pt after structural relaxation.

a b c (Å): 2.773 2.773 9.186
angles (deg): 81.32 81.32 60.00
Element x y z (fractional)
Os1 0.249 0.249 0.252
Os2 0.751 0.751 0.748
Pt1 0.500 0.500 0.500
Ta1 0.000 0.000 0.000

## Properties
Excess energy over the best structure of this formula in the dataset = 49.22 kJ/mol of atoms
Fermi-level density of states = 5.395 states/eV/cell
Energy of formation from the pure elements = 0.137 eV per atom

***

Record 10
## ScSbRh2 (GGA-PBEsol)

Data for ScSbRh2 after structural relaxation.

a b c (Å): 3.422 4.341 4.968
angles (deg): 105.01 110.14 90.00
Element x y z (fractional)
Sc1 0.745 0.195 0.491
Sb1 0.507 0.557 0.015
Rh1 0.007 0.062 0.015
Rh2 0.240 0.686 0.480

## Properties
Fermi-level density of states = 1.782 states/eV/cell
E_form (uncorrected) = -740 meV per atom

***

Record 11
## B3RuPb (GGA-PBEsol)

Data for B3RuPb after structural relaxation.

a b c (Å): 4.154 4.154 4.154
angles (deg): 90.00 90.00 90.00
Element x y z (fractional)
Pb1 0.500 0.500 0.500
Ru1 0.000 0.000 0.000
B1 0.000 0.500 0.000
B2 0.000 0.000 0.500
B3 0.500 0.000 0.000

## Properties
Fermi-level density of states = 4.524 states/eV/cell
Energy of formation from the pure elements = 1.016 eV per atom

***

Record 12
## ZnCdCo (GGA-PBEsol)

Data for ZnCdCo after structural relaxation.

a b c (Å): 4.113 4.113 4.113
angles (deg): 60.00 60.00 60.00
Element x y z (fractional)
Cd1 0.500 0.500 0.500
Co1 0.250 0.250 0.250
Zn1 0.000 0.000 0.000

## Properties
Excess energy over the best structure of this formula in the dataset = 20.10 kJ/mol of atoms
Fermi-level density of states = 2.509 states/eV/cell
Energy of formation from the pure elements = 0.429 eV per atom